Entry 1:
Entry from Alexandria: a crystal of CaMg2Pb relaxed with PBEsol (meta-GGA SCAN).

Crystal system ... tetragonal
Relative energy among the computed polymorphs ... 19 meV per atom
M_tot ... 0.01 μB per atom
Energy relative to the elements ... -105 kJ/mol of formula units

Structure (CIF):
```
data_CaMg2Pb
_chemical_formula_sum 'Ca1 Mg2 Pb1'
_space_group_name_H-M_alt 'P 4 m m'
_space_group_IT_number 99
_cell_length_a 3.7017
_cell_length_b 3.7017
_cell_length_c 7.6761
_cell_angle_alpha 90.00
_cell_angle_beta 90.00
_cell_angle_gamma 90.00
loop_
_space_group_symop_operation_xyz
'x,y,z'
'-y,x,z'
'-x,-y,z'
'y,-x,z'
'-x,y,z'
'y,x,z'
'x,-y,z'
'-y,-x,z'
loop_
_atom_site_label
_atom_site_type_symbol
_atom_site_fract_x
_atom_site_fract_y
_atom_site_fract_z
Ca1 Ca 0.0000 0.0000 0.0000
Mg1 Mg 0.0000 0.0000 0.4951
Mg2 Mg 0.5000 0.5000 0.2836
Pb1 Pb 0.5000 0.5000 0.7221
```


Entry 2:
Entry from Alexandria: a crystal of ZrHPdRu2 relaxed with PBEsol (meta-GGA SCAN).

Crystal system ... tetragonal
M_tot ... 0.42 μB per atom
Calculated total energy ... -133.5 eV/cell

Structure (CIF):
```
data_ZrHPdRu2
_chemical_formula_sum 'Zr1 H1 Pd1 Ru2'
_space_group_name_H-M_alt 'P 4/m m m'
_space_group_IT_number 123
_space_group_name_Hall '-P 4 2'
_cell_length_a 4.8668
_cell_length_b 4.8668
_cell_length_c 3.1037
_cell_angle_alpha 90.00
_cell_angle_beta 90.00
_cell_angle_gamma 90.00
loop_
_atom_site_label
_atom_site_type_symbol
_atom_site_fract_x
_atom_site_fract_y
_atom_site_fract_z
Zr1 Zr 0.0000 0.0000 0.0000
H1 H 0.5000 0.5000 0.0000
Pd1 Pd 0.5000 0.5000 0.5000
Ru1 Ru 0.0000 0.5000 0.5000
```